TlSn2GeTe4 after structural relaxation. Source: Alexandria, functional PBE.

Properties
E, Ry per atom: -0.268
Fermi-level density of states, states/eV/cell: 4.238

Cell: 4.4282 7.7132 7.8067 Å, 71.13 90.00 90.00°
Atoms (fractional coordinates):
Te1 0.0000 0.7556 0.7325
Te2 0.5000 0.7442 0.2674
Tl1 0.5000 0.5000 0.0000
Ge1 0.0000 0.5000 0.5000
Te3 0.0000 0.2444 0.2675
Sn1 0.0000 0.0000 0.0000
Sn2 0.5000 0.0000 0.5000
Te4 0.5000 0.2558 0.7326